{"formula": "PaVGe2O8", "functional": "PBE+U", "state": "relaxed", "dft_energy_ev_per_cell": -91.470, "sg": "I-4m2 (119)", "n_ef_per_ev_atom": 0.5479, "lattice": [[-2.5367, -5.2164, -0.4861], [4.7528, -0.0979, 3.3590], [-3.8384, 3.6223, 2.4550]], "species": ["Pa", "V", "Ge", "Ge", "O", "O", "O", "O", "O", "O", "O", "O"], "fractional_positions": [[0.0000, 0.0000, 0.0000], [0.2500, 0.7500, 0.5000], [0.7500, 0.2500, 0.5000], [0.5000, 0.5000, 0.0000], [0.3763, 0.0598, 0.3165], [0.3112, 0.5015, 0.1903], [0.3112, 0.1209, 0.8097], [0.7434, 0.0598, 0.6835], [0.8791, 0.6888, 0.1903], [0.9402, 0.2566, 0.3165], [0.9402, 0.6237, 0.6835], [0.4985, 0.6888, 0.8097]]}